[1]
KRbTl2 | GGA-PBE | optimized geometry

Cell: 10.0566 10.0566 7.9260 Å, 50.62 50.62 90.00°
Last column: nearest neighbours and their distance in Å.
Fractional positions:
Tl  0.6167  0.1250  0.2500  2 Tl 3.50, 2 K 3.60, 2 Rb 3.72
Tl  0.1333  0.6250  0.2500  2 Tl 3.50, 2 K 3.60, 2 Rb 3.72
Tl  0.3750  0.3833  0.7500  2 Tl 3.50, 2 K 3.60, 2 Rb 3.72
Tl  0.8750  0.8667  0.7500  2 Tl 3.50, 2 K 3.60, 2 Rb 3.72
K  0.5000  0.5000  0.0000  2 Rb 3.50, 4 Tl 3.60
K  0.2500  0.7500  0.5000  2 Rb 3.50, 4 Tl 3.60
Rb  0.0000  0.0000  0.0000  2 K 3.50, 4 Tl 3.72
Rb  0.7500  0.2500  0.5000  2 K 3.50, 4 Tl 3.72

The value obtained for the density is 5.003 Mg/m³. The energy relative to the lowest polymorph listed for this composition comes out at 164 meV per atom. Its calculated formation energy is 40 kJ/mol of formula units. The value obtained for the density of states at the Fermi level is 0.69 states/eV per atom. The space-group type is I-42d.

***

[2]
K8Rb2Tl | GGA-PBE | optimized geometry

Cell: 10.5080 9.3898 9.3898 Å, 63.64 79.38 79.38°
Last column: nearest neighbours and their distance in Å.
Fractional positions:
K  0.9703  0.1763  0.5786  1 Tl 3.60, 1 K 3.98
K  0.0297  0.4214  0.8237  1 Tl 3.60, 1 K 3.98
K  0.7170  0.1873  0.1873  1 Tl 3.73
K  0.2830  0.8127  0.8127  1 Tl 3.73
K  0.9703  0.5786  0.1763  1 Tl 3.60, 1 K 3.98
K  0.0297  0.8237  0.4214  1 Tl 3.60, 1 K 3.98
K  0.3659  0.4127  0.4127  6 K 4.37-4.75
K  0.6341  0.5873  0.5873  6 K 4.37-4.75
Rb  0.3179  0.1113  0.1113  1 Tl 4.11, 2 K 4.21
Rb  0.6821  0.8887  0.8887  1 Tl 4.11, 2 K 4.21
Tl  0.0000  0.0000  0.0000  6 K 3.60-3.73

The value obtained for the density is 1.410 Mg/m³. Its calculated formation energy is 50 kJ/mol of formula units. The value obtained for the density of states at the Fermi level is 0.72 states/eV per atom. The space-group type is C2/m.

***

[3]
K2Rb2Tl15 | GGA-PBE | optimized geometry

Cell: 8.7742 8.7742 8.7742 Å, 84.65 84.65 84.65°
Last column: nearest neighbours and their distance in Å.
Fractional positions:
K  0.1069  0.1069  0.1069  1 K 3.54, 6 Tl 3.55-3.73
K  0.8931  0.8931  0.8931  1 K 3.54, 6 Tl 3.55-3.73
Rb  0.3516  0.3516  0.3516  12 Tl 3.96-4.30, 1 K 4.05
Rb  0.6484  0.6484  0.6484  12 Tl 3.96-4.30, 1 K 4.05
Tl  0.5000  0.0000  0.0000  8 Tl 3.30-3.47, 2 K 3.55
Tl  0.0000  0.0000  0.5000  8 Tl 3.30-3.47, 2 K 3.55
Tl  0.0000  0.5000  0.0000  8 Tl 3.30-3.47, 2 K 3.55
Tl  0.0000  0.6976  0.3024  8 Tl 3.30-3.57
Tl  0.6976  0.3024  0.0000  8 Tl 3.30-3.57
Tl  0.3024  0.0000  0.6976  8 Tl 3.30-3.57
Tl  0.3024  0.6976  0.0000  8 Tl 3.30-3.57
Tl  0.6976  0.0000  0.3024  8 Tl 3.30-3.57
Tl  0.0000  0.3024  0.6976  8 Tl 3.30-3.57
Tl  0.1593  0.6448  0.6448  8 Tl 3.36-3.55, 1 K 3.73
Tl  0.6448  0.6448  0.1593  8 Tl 3.36-3.55, 1 K 3.73
Tl  0.6448  0.1593  0.6448  8 Tl 3.36-3.55, 1 K 3.73
Tl  0.8407  0.3552  0.3552  8 Tl 3.36-3.55, 1 K 3.73
Tl  0.3552  0.3552  0.8407  8 Tl 3.36-3.55, 1 K 3.73
Tl  0.3552  0.8407  0.3552  8 Tl 3.36-3.55, 1 K 3.73

The value obtained for the density is 8.250 Mg/m³. Its calculated formation energy is -70 kJ/mol of formula units. The value obtained for the density of states at the Fermi level is 0.58 states/eV per atom. The space-group type is R-3m.

***

Repeat the second record exactly.
K8Rb2Tl | GGA-PBE | optimized geometry

Cell: 10.5080 9.3898 9.3898 Å, 63.64 79.38 79.38°
Last column: nearest neighbours and their distance in Å.
Fractional positions:
K  0.9703  0.1763  0.5786  1 Tl 3.60, 1 K 3.98
K  0.0297  0.4214  0.8237  1 Tl 3.60, 1 K 3.98
K  0.7170  0.1873  0.1873  1 Tl 3.73
K  0.2830  0.8127  0.8127  1 Tl 3.73
K  0.9703  0.5786  0.1763  1 Tl 3.60, 1 K 3.98
K  0.0297  0.8237  0.4214  1 Tl 3.60, 1 K 3.98
K  0.3659  0.4127  0.4127  6 K 4.37-4.75
K  0.6341  0.5873  0.5873  6 K 4.37-4.75
Rb  0.3179  0.1113  0.1113  1 Tl 4.11, 2 K 4.21
Rb  0.6821  0.8887  0.8887  1 Tl 4.11, 2 K 4.21
Tl  0.0000  0.0000  0.0000  6 K 3.60-3.73

The value obtained for the density is 1.410 Mg/m³. Its calculated formation energy is 50 kJ/mol of formula units. The value obtained for the density of states at the Fermi level is 0.72 states/eV per atom. The space-group type is C2/m.

***

Question: The lowest calculated formation energy belongs to which entry?
Answer: K2Rb2Tl15

***

Question: Which value of calculated formation energy does entry 2 give?
Answer: 50 kJ/mol of formula units

***

Question: The highest calculated formation energy belongs to which entry?
Answer: K8Rb2Tl